Density functional theory data (GGA-PBE) for crystalline Cs2NaPrI6 at its relaxed geometry.

Properties
The value obtained for the raw total energy is -3.16 eV per atom. The space group is No. 225. The raw formation energy comes out at -1.45 eV per atom.

Lattice parameters (Å, degrees): 8.8981 8.8981 8.8981 60.00 60.00 60.00
Closest atoms and distances in Å follow each position.
Fractional coordinates of all 10 atoms:
I 0.2486 0.7514 0.7514  1 Pr 3.13, 1 Na 3.16
I 0.7514 0.2486 0.2486  1 Pr 3.13, 1 Na 3.16
Cs 0.2500 0.2500 0.2500  12 I 4.45
I 0.2486 0.2486 0.7514  1 Pr 3.13, 1 Na 3.16
I 0.7514 0.7514 0.2486  1 Pr 3.13, 1 Na 3.16
I 0.7514 0.2486 0.7514  1 Pr 3.13, 1 Na 3.16
I 0.2486 0.7514 0.2486  1 Pr 3.13, 1 Na 3.16
Na 0.5000 0.5000 0.5000  6 I 3.16
Cs 0.7500 0.7500 0.7500  12 I 4.45
Pr 0.0000 0.0000 0.0000  6 I 3.13